No. 1
# ThSiB | Alexandria | PBE-GGA | optimized geometry
# - energy relative to the lowest polymorph listed for this composition (meV/atom) = 552.7
# - total moment (μB/cell) = 0.0
# - calculated density (g cm⁻³) = 8.7
# - calculated total energy (eV/atom) = -6.509
data_ThSiB
_chemical_formula_sum 'Th6 Si6 B6'
_symmetry_space_group_name_H-M 'P 62 2 2'
_symmetry_Int_Tables_number 180
_symmetry_space_group_name_Hall 'P 62 2 (0 0 4)'
_cell_length_a 5.9354
_cell_length_b 5.9354
_cell_length_c 10.1317
_cell_angle_alpha 90.00
_cell_angle_beta 90.00
_cell_angle_gamma 120.00
loop_
_atom_site_label
_atom_site_type_symbol
_atom_site_fract_x
_atom_site_fract_y
_atom_site_fract_z
Th1 Th 0.0000 0.0000 0.0000
Th2 Th 0.0000 0.5000 0.1667
Si1 Si 0.0000 0.5000 0.4734
B1 B 0.1668 0.5834 0.6667



No. 2
# ThSiB | Alexandria | PBE-GGA | optimized geometry
# - energy relative to the lowest polymorph listed for this composition (meV/atom) = 106.0
# - total moment (μB/cell) = 0.0
# - calculated density (g cm⁻³) = 8.9
# - calculated total energy (eV/atom) = -6.955
data_ThSiB
_chemical_formula_sum 'Th2 Si2 B2'
_symmetry_space_group_name_H-M 'P m m a'
_symmetry_Int_Tables_number 51
_cell_length_a 3.6054
_cell_length_b 4.3813
_cell_length_c 6.4102
_cell_angle_alpha 90.00
_cell_angle_beta 90.00
_cell_angle_gamma 90.00
loop_
_symmetry_equiv_pos_as_xyz
'x,y,z'
'-x,-y,-z'
'-x+1/2,-y,z'
'x+1/2,y,-z'
'x+1/2,-y,-z'
'-x+1/2,y,z'
'-x,y,-z'
'x,-y,z'
loop_
_atom_site_label
_atom_site_type_symbol
_atom_site_fract_x
_atom_site_fract_y
_atom_site_fract_z
Th1 Th 0.2500 0.0000 0.2365
Si1 Si 0.2500 0.5000 0.6136
B1 B 0.2500 0.5000 0.9442



No. 3
# TiSiB | Alexandria | PBE-GGA | optimized geometry
# - total moment (μB/cell) = 0.0
# - calculated density (g cm⁻³) = 3.7
# - calculated total energy (eV/atom) = -6.793
data_TiSiB
_chemical_formula_sum 'Ti16 Si16 B16'
_symmetry_space_group_name_H-M 'F d d d'
_symmetry_Int_Tables_number 70
_cell_length_a 7.2214
_cell_length_b 8.3886
_cell_length_c 10.2482
_cell_angle_alpha 90.00
_cell_angle_beta 90.00
_cell_angle_gamma 90.00
loop_
_symmetry_equiv_pos_as_xyz
'x,y,z'
'-x,-y,-z'
'-x+1/4,-y+1/4,z'
'x+1/4,y+1/4,-z'
'x,-y+1/4,-z+1/4'
'-x,y+1/4,z+1/4'
'-x+1/4,y,-z+1/4'
'x+1/4,-y,z+1/4'
'x,y+1/2,z+1/2'
'-x,-y+1/2,-z+1/2'
'-x+1/4,-y+3/4,z+1/2'
'x+1/4,y+3/4,-z+1/2'
'x,-y+3/4,-z+3/4'
'-x,y+3/4,z+3/4'
'-x+1/4,y+1/2,-z+3/4'
'x+1/4,-y+1/2,z+3/4'
'x+1/2,y,z+1/2'
'-x+1/2,-y,-z+1/2'
'-x+3/4,-y+1/4,z+1/2'
'x+3/4,y+1/4,-z+1/2'
'x+1/2,-y+1/4,-z+3/4'
'-x+1/2,y+1/4,z+3/4'
'-x+3/4,y,-z+3/4'
'x+3/4,-y,z+3/4'
'x+1/2,y+1/2,z'
'-x+1/2,-y+1/2,-z'
'-x+3/4,-y+3/4,z'
'x+3/4,y+3/4,-z'
'x+1/2,-y+3/4,-z+1/4'
'-x+1/2,y+3/4,z+1/4'
'-x+3/4,y+1/2,-z+1/4'
'x+3/4,-y+1/2,z+1/4'
loop_
_atom_site_label
_atom_site_type_symbol
_atom_site_fract_x
_atom_site_fract_y
_atom_site_fract_z
Ti1 Ti 0.1250 0.1250 0.2813
Si1 Si 0.0000 0.0000 0.5000
B1 B 0.0961 0.3750 0.3750



No. 4
# Ti6Si2B | Alexandria | PBE-GGA | optimized geometry
# - total moment (μB/cell) = 0.0
# - calculated density (g cm⁻³) = 4.4
# - calculated total energy (eV/atom) = -7.866
data_Ti6Si2B
_chemical_formula_sum 'Ti6 Si2 B1'
_symmetry_space_group_name_H-M 'P -6 2 m'
_symmetry_Int_Tables_number 189
_symmetry_space_group_name_Hall 'P -6 -2'
_cell_length_a 6.7913
_cell_length_b 6.7913
_cell_length_c 3.3132
_cell_angle_alpha 90.00
_cell_angle_beta 90.00
_cell_angle_gamma 120.00
loop_
_atom_site_label
_atom_site_type_symbol
_atom_site_fract_x
_atom_site_fract_y
_atom_site_fract_z
Ti1 Ti 0.0000 0.2387 0.0000
Ti2 Ti 0.0000 0.6004 0.5000
Si1 Si 0.3333 0.6667 0.0000
B1 B 0.0000 0.0000 0.5000



No. 5
# Ti2SiB | Alexandria | PBE-GGA | optimized geometry
# - energy relative to the lowest polymorph listed for this composition (meV/atom) = 779.1
# - total moment (μB/cell) = 3.1
# - calculated density (g cm⁻³) = 4.2
# - calculated total energy (eV/atom) = -6.941
data_Ti2SiB
_chemical_formula_sum 'Ti8 Si4 B4'
_symmetry_space_group_name_H-M 'F m -3 m'
_symmetry_Int_Tables_number 225
_symmetry_space_group_name_Hall '-F 4 2 3'
_cell_length_a 5.9519
_cell_length_b 5.9519
_cell_length_c 5.9519
_cell_angle_alpha 90.00
_cell_angle_beta 90.00
_cell_angle_gamma 90.00
loop_
_atom_site_label
_atom_site_type_symbol
_atom_site_fract_x
_atom_site_fract_y
_atom_site_fract_z
Ti1 Ti 0.2500 0.2500 0.2500
Si1 Si 0.0000 0.0000 0.0000
B1 B 0.0000 0.0000 0.5000



No. 6
# TiSiB2 | Alexandria | PBE-GGA | optimized geometry
# - total moment (μB/cell) = 0.0
# - calculated density (g cm⁻³) = 3.6
# - calculated total energy (eV/atom) = -6.409
data_TiSiB2
_chemical_formula_sum 'Ti4 Si4 B8'
_symmetry_space_group_name_H-M 'I -4 2 d'
_symmetry_Int_Tables_number 122
_symmetry_space_group_name_Hall 'I -4 2bw'
_cell_length_a 5.6933
_cell_length_b 5.6933
_cell_length_c 5.6063
_cell_angle_alpha 90.00
_cell_angle_beta 90.00
_cell_angle_gamma 90.00
loop_
_atom_site_label
_atom_site_type_symbol
_atom_site_fract_x
_atom_site_fract_y
_atom_site_fract_z
Ti1 Ti 0.0000 0.0000 0.0000
Si1 Si 0.0000 0.0000 0.5000
B1 B 0.2147 0.2500 0.6250



No. 7
# Ti2SiB | Alexandria | PBE-GGA | optimized geometry
# - energy relative to the lowest polymorph listed for this composition (meV/atom) = 297.5
# - total moment (μB/cell) = 0.0
# - calculated density (g cm⁻³) = 4.0
# - calculated total energy (eV/atom) = -7.422
data_Ti2SiB
_chemical_formula_sum 'Ti6 Si3 B3'
_symmetry_space_group_name_H-M 'R -3 m'
_symmetry_Int_Tables_number 166
_symmetry_space_group_name_Hall '-R 3 2"'
_cell_length_a 3.1579
_cell_length_b 3.1579
_cell_length_c 19.5167
_cell_angle_alpha 90.00
_cell_angle_beta 90.00
_cell_angle_gamma 120.00
loop_
_atom_site_label
_atom_site_type_symbol
_atom_site_fract_x
_atom_site_fract_y
_atom_site_fract_z
Ti1 Ti 0.0000 0.0000 0.2299
Si1 Si 0.0000 0.0000 0.0000
B1 B 0.0000 0.0000 0.5000



No. 8
# Ti3SiB | Alexandria | PBE-GGA | optimized geometry
# - energy relative to the lowest polymorph listed for this composition (meV/atom) = 0.0
# - total moment (μB/cell) = 0.0
# - calculated density (g cm⁻³) = 4.1
# - calculated total energy (eV/atom) = -7.575
data_Ti3SiB
_chemical_formula_sum 'Ti3 Si1 B1'
_symmetry_space_group_name_H-M 'P m -3 m'
_symmetry_Int_Tables_number 221
_symmetry_space_group_name_Hall '-P 4 2 3'
_cell_length_a 4.2020
_cell_length_b 4.2020
_cell_length_c 4.2020
_cell_angle_alpha 90.00
_cell_angle_beta 90.00
_cell_angle_gamma 90.00
loop_
_atom_site_label
_atom_site_type_symbol
_atom_site_fract_x
_atom_site_fract_y
_atom_site_fract_z
Ti1 Ti 0.0000 0.0000 0.5000
Si1 Si 0.5000 0.5000 0.5000
B1 B 0.0000 0.0000 0.0000



Which value of calculated density does entry 2 give? 8.9 g cm⁻³



Among the records above, which one has the lowest calculated total energy? Ti6Si2B